1.
Crystalline Zr2Ga2Ni7Pt at its relaxed geometry. Source: Alexandria, functional PBE.

## Properties
* formation enthalpy at 0 K: -124 meV/atom
* DFT total energy: -0.4357 Ry per atom
* SG: C2/m
* magnetization: 0.46 Bohr magnetons per cell
* N(E_F): 1.199 states/eV per atom

Unit cell a=3.422 b=3.422 c=15.249 alpha=83.31 beta=83.31 gamma=90.00
Site moments in Bohr magnetons follow the coordinates.
Sites, in units of the cell vectors:
Zr1 0.637 0.637 0.735  0.01
Zr2 0.363 0.363 0.265  0.01
Ga1 0.803 0.803 0.387  0.00
Ga2 0.197 0.197 0.613  0.00
Ni1 0.500 0.500 0.000  -0.21
Ni2 0.271 0.271 0.453  0.00
Ni3 0.729 0.729 0.547  0.00
Ni4 0.931 0.431 0.132  -0.05
Ni5 0.431 0.931 0.132  -0.05
Ni6 0.569 0.069 0.868  -0.05
Ni7 0.069 0.569 0.868  -0.05
Pt1 0.000 0.000 0.000  -0.08

=====

2.
Crystalline CaEuF2 at its relaxed geometry. Source: Alexandria, functional PBE.

## Properties
* DFT total energy: -0.5013 Ry per atom
* SG: R-3m
* raw formation energy: -11.263 eV/f.u.
* magnetization: 7.19 Bohr magnetons per cell
* N(E_F): 2.625 states/eV per atom

Unit cell a=4.158 b=4.158 c=6.681 alpha=71.87 beta=71.87 gamma=60.00
Site moments in Bohr magnetons follow the coordinates.
Sites, in units of the cell vectors:
Eu1 0.500 0.500 0.500  6.90
Ca1 0.000 0.000 0.000  0.02
F1 0.122 0.122 0.633  -0.01
F2 0.878 0.878 0.367  -0.01

=====

> What is the formula in the first record?

Zr2Ga2Ni7Pt

=====

What did the first record say?
Crystalline Zr2Ga2Ni7Pt at its relaxed geometry. Source: Alexandria, functional PBE.

## Properties
* formation enthalpy at 0 K: -124 meV/atom
* DFT total energy: -0.4357 Ry per atom
* SG: C2/m
* magnetization: 0.46 Bohr magnetons per cell
* N(E_F): 1.199 states/eV per atom

Unit cell a=3.422 b=3.422 c=15.249 alpha=83.31 beta=83.31 gamma=90.00
Site moments in Bohr magnetons follow the coordinates.
Sites, in units of the cell vectors:
Zr1 0.637 0.637 0.735  0.01
Zr2 0.363 0.363 0.265  0.01
Ga1 0.803 0.803 0.387  0.00
Ga2 0.197 0.197 0.613  0.00
Ni1 0.500 0.500 0.000  -0.21
Ni2 0.271 0.271 0.453  0.00
Ni3 0.729 0.729 0.547  0.00
Ni4 0.931 0.431 0.132  -0.05
Ni5 0.431 0.931 0.132  -0.05
Ni6 0.569 0.069 0.868  -0.05
Ni7 0.069 0.569 0.868  -0.05
Pt1 0.000 0.000 0.000  -0.08